## CdHgSb2 (PBE)

Data for an optimized crystal structure of CdHgSb2.

* E_form (uncorrected): 0.153 eV per atom
* Fermi-level density of states: 0.3640 states/eV/atom
* energy above the most stable polymorph in this dataset: 61 meV/atom

Cell and atoms, written as extended XYZ:
```
4
Lattice="3.988 0.000 0.000 0.000 4.886 0.000 0.000 0.000 5.385" Properties=species:S:1:pos:R:3 pbc="T T T"
Cd 0.000 0.000 0.000
Hg 1.994 0.000 2.692
Sb 0.000 2.443 2.692
Sb 1.994 2.443 0.000
```